No. 1
First-principles (PBE) data for a relaxed structure of CeCd8Cu4, as listed in Alexandria via LeMat-Bulk.

Unit cell a=7.3626 b=7.3626 c=7.3626 alpha=97.58 beta=97.58 gamma=137.40
Fractional positions:
Ce  0.0000  0.0000  0.0000
Cd  0.0000  0.3421  0.3421
Cd  0.0000  0.6579  0.6579
Cd  0.2830  0.5000  0.7830
Cd  0.3421  0.0000  0.3421
Cd  0.5000  0.2830  0.7830
Cd  0.5000  0.7170  0.2170
Cd  0.6579  0.0000  0.6579
Cd  0.7170  0.5000  0.2170
Cu  0.0000  0.0000  0.5000
Cu  0.0000  0.5000  0.0000
Cu  0.5000  0.0000  0.0000
Cu  0.5000  0.5000  0.5000

Output
**Space-group type**: I4/mmm
**M_tot**: 0.88 Bohr magnetons per cell

No. 2
First-principles (PBE) data for a relaxed structure of CeCd4Cu2, as listed in Alexandria via LeMat-Bulk.

Unit cell a=8.4321 b=8.4321 c=4.2411 alpha=90.00 beta=90.00 gamma=150.48
Fractional positions:
Ce  0.0000  0.0000  0.0000
Cd  0.1752  0.8248  0.5000
Cd  0.3223  0.6777  0.0000
Cd  0.6777  0.3223  0.0000
Cd  0.8248  0.1752  0.5000
Cu  0.4275  0.5725  0.5000
Cu  0.5725  0.4275  0.5000

Output
**Space-group type**: Cmmm
**M_tot**: 0.94 Bohr magnetons per cell

No. 3
First-principles (PBE) data for a relaxed structure of Ce2CdCu, as listed in Alexandria via LeMat-Bulk.

Unit cell a=3.7833 b=3.7833 c=6.8528 alpha=90.00 beta=90.00 gamma=90.00
Fractional positions:
Ce  0.0000  0.0000  0.2049
Ce  0.0000  0.0000  0.7951
Cd  0.5000  0.5000  0.5000
Cu  0.5000  0.5000  0.0000

Output
**Space-group type**: P4/mmm
**Energy above the most stable polymorph in this dataset**: 0 meV/atom
**M_tot**: 1.59 Bohr magnetons per cell

No. 4
First-principles (PBE) data for a relaxed structure of Ce2CdCu, as listed in Alexandria via LeMat-Bulk.

Unit cell a=11.6744 b=11.6744 c=11.6744 alpha=15.02 beta=15.02 gamma=15.02
Fractional positions:
Ce  0.0967  0.0967  0.0967
Ce  0.9033  0.9033  0.9033
Cd  0.0000  0.0000  0.0000
Cu  0.5000  0.5000  0.5000

Output
**Space-group type**: R-3m
**Energy above the most stable polymorph in this dataset**: 293 meV/atom
**M_tot**: 0.00 Bohr magnetons per cell

Values for calculated total energy, eV per cell, ordered as above
-30.51; -18.48; -17.22; -16.05
Values for N(E_F), states/eV per atom, ordered as above
1.0067; 1.2424; 2.5063; 2.0598